# Sm4Sb3Se | the Alexandria database | PBE-GGA | optimized geometry
data_Sm4Sb3Se
_cell_length_a 8.807
_cell_length_b 12.449
_cell_length_c 4.410
_cell_angle_alpha 90.00
_cell_angle_beta 90.00
_cell_angle_gamma 90.00
_space_group_name_H-M_alt 'C m m m'
_space_group_IT_number 65
_space_group_name_Hall '-C 2 2'
loop_
_atom_site_label
_atom_site_fract_x
_atom_site_fract_y
_atom_site_fract_z
Sm1 0.000 0.247 0.000
Sm2 0.246 0.000 0.500
Sb1 0.000 0.500 0.000
Sb2 0.250 0.250 0.500
Se1 0.000 0.000 0.000
# - magnetization (μB/f.u.) = 0.00
# - formation energy from raw total energies (kJ/mol of formula units) = -1042
# - total DFT energy (no corrections) (eV per atom) = -5.69